[1]
Hg2CSe2 PBE relaxed; E = -2.408 eV/atom; energy relative to the lowest polymorph listed for this composition = 0.0 meV/atom; total moment = 0.0 Bohr magnetons per cell; crystal system = tetragonal; formation energy without anion corrections = 0.951 eV/atom
1.0
6.1523 0.0000 0.0000
0.0000 6.1523 0.0000
0.0000 0.0000 6.1652
Hg C Se
4 2 4
Cartesian
1.4237 1.6524 0.0000 Hg
1.6524 4.7286 0.0000 Hg
4.4999 1.4237 0.0000 Hg
4.7286 4.4999 0.0000 Hg
0.0000 0.0000 0.0000 C
3.0762 3.0762 0.0000 C
0.8135 2.2626 3.0826 Se
2.2626 5.3388 3.0826 Se
3.8897 0.8135 3.0826 Se
5.3388 3.8897 3.0826 Se

=====

[2]
SmPuIn6 PBE relaxed; E = -4.778 eV/atom; energy relative to the lowest polymorph listed for this composition = 0.0 meV/atom; ΔH_f (0 K) = -0.34 eV per atom; total moment = 5.7 Bohr magnetons per cell; crystal system = tetragonal
1.0
4.6650 0.0000 0.0000
0.0000 4.6650 0.0000
0.0000 0.0000 9.3542
Sm Pu In
1 1 6
Cartesian
0.0000 0.0000 0.0000 Sm
0.0000 0.0000 4.6771 Pu
0.0000 2.3325 2.3654 In
0.0000 2.3325 6.9888 In
2.3325 0.0000 2.3654 In
2.3325 0.0000 6.9888 In
2.3325 2.3325 0.0000 In
2.3325 2.3325 4.6771 In

=====

[3]
La3ZnGa2 PBE relaxed; E = -4.175 eV/atom; energy relative to the lowest polymorph listed for this composition = 0.0 meV/atom; ΔH_f (0 K) = -0.49 eV per atom; total moment = 0.0 Bohr magnetons per cell; crystal system = trigonal
1.0
5.3262 0.0000 0.0000
-2.6631 4.6126 0.0000
0.0000 0.0000 13.0807
La Zn Ga
6 2 4
Cartesian
0.0000 0.0000 3.2549 La
0.0000 0.0000 9.8258 La
0.0000 3.0751 5.4528 La
0.0000 3.0751 12.0032 La
2.6631 1.5375 1.0775 La
2.6631 1.5375 7.6279 La
0.0000 3.0751 8.7285 Zn
2.6631 1.5375 4.3522 Zn
0.0000 0.0000 0.0000 Ga
0.0000 0.0000 6.5404 Ga
0.0000 3.0751 2.2387 Ga
2.6631 1.5375 10.8420 Ga

=====

[4]
Rb3Ac3SnSe8 PBE relaxed; E = -4.606 eV/atom; total moment = 0.0 Bohr magnetons per cell; crystal system = trigonal; formation energy without anion corrections = -1.465 eV/atom
1.0
4.4803 2.5867 8.2116
-4.4803 2.5867 8.2116
0.0000 -5.1734 8.2116
Rb Ac Sn Se
3 3 1 8
Cartesian
-2.2401 -1.2933 8.2116 Rb
-2.2401 1.2933 16.4232 Rb
0.0000 2.5867 8.2116 Rb
-4.4803 0.0000 12.3174 Ac
-2.2401 1.2933 4.1058 Ac
2.2401 1.2933 4.1058 Ac
0.0000 0.0000 12.3174 Sn
0.0000 0.0000 5.8093 Se
-2.0143 -1.1629 13.9001 Se
0.0000 -2.3259 10.7348 Se
-2.0143 1.1630 10.7348 Se
2.0143 -1.1630 13.9001 Se
0.0000 2.3259 13.9001 Se
2.0143 1.1630 10.7348 Se
0.0000 0.0000 18.8256 Se

=====

[5]
NbAlMo14 PBE relaxed; E = -10.390 eV/atom; ΔH_f (0 K) = -0.05 eV per atom; total moment = 0.0 Bohr magnetons per cell; crystal system = orthorhombic
1.0
3.1627 -4.4803 0.0000
3.1627 4.4803 0.0000
0.0000 0.0000 8.9745
Nb Al Mo
1 1 14
Cartesian
0.0000 0.0000 0.0000 Nb
3.1627 0.0000 0.0000 Al
0.0000 0.0000 4.4873 Mo
1.5814 2.2402 0.0000 Mo
1.5814 2.2402 4.4873 Mo
1.5740 0.0000 2.2874 Mo
1.5740 0.0000 6.6872 Mo
3.1627 2.2018 2.2275 Mo
3.1627 2.2018 6.7470 Mo
1.5814 -2.2402 0.0000 Mo
1.5814 -2.2402 4.4873 Mo
3.1627 0.0000 4.4873 Mo
3.1627 -2.2018 2.2275 Mo
3.1627 -2.2018 6.7470 Mo
4.7515 0.0000 2.2874 Mo
4.7515 0.0000 6.6872 Mo

=====

[6]
Na2AlPSe5 PBE relaxed; E = -3.847 eV/atom; total moment = 0.0 Bohr magnetons per cell; crystal system = orthorhombic; formation energy without anion corrections = -0.601 eV/atom
1.0
1.8441 -9.5322 0.0000
1.8441 9.5322 0.0000
0.0000 0.0000 12.8392
Na Al P Se
4 2 2 10
Cartesian
1.8441 7.2763 6.4196 Na
1.8441 6.8679 10.9396 Na
1.8441 -6.8679 4.5200 Na
1.8441 -7.2763 0.0000 Na
1.8441 5.3307 2.8549 Al
1.8441 -5.3307 9.2745 Al
1.8441 1.2453 7.5891 P
1.8441 -1.2453 1.1695 P
1.8441 8.9003 2.4998 Se
1.8441 3.7776 10.8398 Se
1.8441 3.4763 7.3361 Se
1.8441 3.0454 2.2170 Se
1.8441 0.2595 5.6639 Se
1.8441 -0.2595 12.0835 Se
1.8441 -3.0454 8.6367 Se
1.8441 -3.4763 0.9165 Se
1.8441 -3.7776 4.4202 Se
1.8441 -8.9003 8.9194 Se

=====

[7]
K2GeSb2O6 PBE relaxed; E = -5.485 eV/atom; total moment = 0.0 Bohr magnetons per cell; crystal system = monoclinic; formation energy without anion corrections = -1.412 eV/atom
1.0
4.4531 -2.9094 0.0000
4.4531 2.9094 0.0000
-2.1270 0.0000 6.6978
K Ge Sb O
2 1 2 6
Cartesian
1.4888 0.0000 0.7110 K
5.2905 0.0000 5.9867 K
-1.0635 0.0000 3.3489 Ge
1.9901 0.0000 4.8649 Sb
4.7892 0.0000 1.8328 Sb
3.4731 1.5179 1.9481 O
0.8608 0.0000 3.2659 O
3.3062 1.5179 4.7496 O
3.4731 -1.5179 1.9481 O
5.9185 0.0000 3.4319 O
3.3062 -1.5179 4.7496 O

=====

[8]
GaAgPt3 PBE relaxed; E = -3.485 eV/atom; energy relative to the lowest polymorph listed for this composition = 1274.3 meV/atom; ΔH_f (0 K) = 1.31 eV per atom; total moment = 0.0 Bohr magnetons per cell; crystal system = cubic
1.0
4.9158 0.0000 0.0000
0.0000 4.9158 0.0000
0.0000 0.0000 4.9158
Ga Ag Pt
1 1 3
Cartesian
0.0000 0.0000 0.0000 Ga
2.4579 2.4579 2.4579 Ag
0.0000 2.4579 2.4579 Pt
2.4579 0.0000 2.4579 Pt
2.4579 2.4579 0.0000 Pt

=====

[9]
Th2Al4Zn3Ag PBE relaxed; E = -4.006 eV/atom; ΔH_f (0 K) = -0.36 eV per atom; total moment = 0.0 Bohr magnetons per cell; crystal system = tetragonal
1.0
4.2636 0.0000 0.0000
0.0000 4.2636 0.0000
0.0000 0.0000 10.8427
Th Al Zn Ag
2 4 3 1
Cartesian
0.0000 2.1318 2.6817 Th
2.1318 0.0000 8.1610 Th
0.0000 0.0000 0.0000 Al
0.0000 2.1318 6.8818 Al
2.1318 0.0000 3.9608 Al
2.1318 2.1318 0.0000 Al
0.0000 2.1318 9.3552 Zn
2.1318 0.0000 1.4874 Zn
2.1318 2.1318 5.4213 Zn
0.0000 0.0000 5.4213 Ag

=====

[10]
NpTl4Se4 PBE relaxed; E = -4.696 eV/atom; energy relative to the lowest polymorph listed for this composition = 0.0 meV/atom; total moment = 3.0 Bohr magnetons per cell; crystal system = monoclinic; formation energy without anion corrections = -0.658 eV/atom
1.0
7.3421 -2.1474 0.0000
7.3421 2.1474 0.0000
-5.4920 0.0000 9.2612
Np Tl Se
1 4 4
Cartesian
0.0000 0.0000 0.0000 Np
-1.3568 0.0000 7.1734 Tl
2.7922 0.0000 5.5825 Tl
6.4000 0.0000 3.6787 Tl
10.5491 0.0000 2.0878 Tl
0.9234 0.0000 2.6521 Se
5.5343 0.0000 0.6168 Se
3.6579 0.0000 8.6444 Se
8.2688 0.0000 6.6091 Se